Entry 1:
Material: Hg2PCl
Method: DFT, GGA-PBEsol
State: relaxed

Unit cell a=5.896 b=5.896 c=12.850 alpha=90.00 beta=90.00 gamma=90.00
Space group I-42d (No. 122)
Asymmetric unit:
Hg (0.178, 0.250, 0.125) (multiplicity 8)
P (0.000, 0.000, 0.000) (multiplicity 4)
Cl (0.000, 0.000, 0.500) (multiplicity 4)

relative energy among the computed polymorphs = 0 meV per atom
magnetic moment = 0.0 μB per cell
crystal system = tetragonal



Entry 2:
Material: NaMo2PSe
Method: DFT, GGA-PBEsol
State: relaxed

Unit cell a=4.629 b=4.629 c=4.811 alpha=90.00 beta=90.00 gamma=90.00
Space group P4/mmm (No. 123)
Asymmetric unit:
Na (0.000, 0.000, 0.000) (multiplicity 1)
Mo (0.000, 0.500, 0.500) (multiplicity 2)
P (0.500, 0.500, 0.000) (multiplicity 1)
Se (0.000, 0.000, 0.500) (multiplicity 1)

Fermi-level density of states = 4.93 states/eV/cell
uncorrected energy = -5.760 eV/atom
magnetic moment = 2.6 μB per cell
crystal system = tetragonal



Entry 3:
Material: MgTi2Be2
Method: DFT, GGA-PBEsol
State: relaxed

Unit cell a=6.759 b=6.759 c=3.051 alpha=90.00 beta=90.00 gamma=90.00
Space group P4/mbm (No. 127)
Asymmetric unit:
Mg (0.000, 0.000, 0.000) (multiplicity 2)
Ti (0.176, 0.324, 0.500) (multiplicity 4)
Be (0.114, 0.614, 0.000) (multiplicity 4)

Fermi-level density of states = 11.05 states/eV/cell
magnetic moment = 0.0 μB per cell
formation energy from the elements = 0.0410 eV per atom
crystal system = tetragonal



Entry 4:
Material: Zn3Ag
Method: DFT, GGA-PBEsol
State: relaxed

Unit cell a=5.5087 b=5.5087 c=4.3938 alpha=90.00 beta=90.00 gamma=120.00
Space group P6_3/mmc (No. 194)
Asymmetric unit:
Zn (0.1647, 0.3294, 0.2500) (multiplicity 6)
Ag (0.3333, 0.6667, 0.7500) (multiplicity 2)

Fermi-level density of states = 1.78 states/eV/cell
magnetic moment = 0.0 μB per cell
formation energy from the elements = -0.0523 eV per atom
crystal system = hexagonal